Entry 1:
First-principles (PBE) data for SmY2Ho6Er after structural relaxation, as listed in the Alexandria database.

The structure in POSCAR format:
```
SmY2Ho6Er
1.0
4.547 -7.492 0.000
4.547 7.492 0.000
-1.058 0.000 9.391
Sm Y Ho Er
2 4 12 2
direct
0.027 0.973 0.750 Sm
0.973 0.027 0.250 Sm
0.200 0.304 0.547 Y
0.304 0.200 0.047 Y
0.696 0.800 0.953 Y
0.800 0.696 0.453 Y
0.016 0.566 0.684 Ho
0.124 0.753 0.058 Ho
0.247 0.876 0.442 Ho
0.291 0.512 0.883 Ho
0.434 0.984 0.816 Ho
0.488 0.709 0.617 Ho
0.512 0.291 0.383 Ho
0.566 0.016 0.184 Ho
0.709 0.488 0.117 Ho
0.753 0.124 0.558 Ho
0.876 0.247 0.942 Ho
0.984 0.434 0.316 Ho
0.410 0.590 0.250 Er
0.590 0.410 0.750 Er
```

Summary:
**Crystal system**: monoclinic
**Magnetic moment**: 0.00 Bohr magnetons per cell
**ΔE_f**: 0.13 eV per atom

Entry 2:
First-principles (PBE) data for Sm2YHo6Er after structural relaxation, as listed in the Alexandria database.

The structure in POSCAR format:
```
Sm2YHo6Er
1.0
4.490 -7.524 0.000
4.490 7.524 0.000
-1.388 0.000 9.489
Sm Y Ho Er
4 2 12 2
direct
0.195 0.302 0.043 Sm
0.302 0.195 0.543 Sm
0.698 0.805 0.457 Sm
0.805 0.698 0.957 Sm
0.020 0.980 0.250 Y
0.980 0.020 0.750 Y
0.021 0.573 0.187 Ho
0.127 0.747 0.557 Ho
0.253 0.873 0.943 Ho
0.290 0.501 0.381 Ho
0.427 0.979 0.313 Ho
0.499 0.710 0.119 Ho
0.501 0.290 0.881 Ho
0.573 0.021 0.687 Ho
0.710 0.499 0.619 Ho
0.747 0.127 0.057 Ho
0.873 0.253 0.443 Ho
0.979 0.427 0.813 Ho
0.408 0.592 0.750 Er
0.592 0.408 0.250 Er
```

Summary:
**Crystal system**: monoclinic
**Magnetic moment**: 0.00 Bohr magnetons per cell
**ΔE_f**: 0.11 eV per atom

Entry 3:
First-principles (PBE) data for Sm2YHoEr after structural relaxation, as listed in the Alexandria database.

The structure in POSCAR format:
```
Sm2YHoEr
1.0
4.178 -5.763 0.000
4.178 5.763 0.000
0.000 0.000 7.218
Sm Y Ho Er
4 2 2 2
direct
0.193 0.193 0.000 Sm
0.193 0.193 0.500 Sm
0.807 0.807 0.000 Sm
0.807 0.807 0.500 Sm
0.240 0.760 0.750 Y
0.760 0.240 0.250 Y
0.477 0.523 0.250 Ho
0.523 0.477 0.750 Ho
0.212 0.788 0.250 Er
0.788 0.212 0.750 Er
```

Summary:
**Crystal system**: orthorhombic
**Magnetic moment**: 0.00 Bohr magnetons per cell
**ΔE_f**: 0.42 eV per atom

Entry 4:
First-principles (PBE) data for Sm6YHo3Er2 after structural relaxation, as listed in the Alexandria database.

The structure in POSCAR format:
```
Sm6YHo3Er2
1.0
3.104 -5.374 0.000
3.104 5.374 0.000
-2.061 0.000 11.602
Sm Y Ho Er
6 1 3 2
direct
0.082 0.416 0.250 Sm
0.250 0.250 0.750 Sm
0.416 0.082 0.250 Sm
0.584 0.918 0.750 Sm
0.750 0.750 0.250 Sm
0.918 0.584 0.750 Sm
0.500 0.500 0.500 Y
0.000 0.000 0.000 Ho
0.333 0.667 0.000 Ho
0.667 0.333 0.000 Ho
0.167 0.833 0.500 Er
0.833 0.167 0.500 Er
```

Summary:
**Crystal system**: monoclinic
**Magnetic moment**: 0.00 Bohr magnetons per cell
**ΔE_f**: 0.01 eV per atom

Entry 5:
First-principles (PBE) data for Sm2Y6Ho2Er after structural relaxation, as listed in the Alexandria database.

The structure in POSCAR format:
```
Sm2Y6Ho2Er
1.0
2.832 -6.019 0.000
2.832 6.019 0.000
-0.008 0.000 10.582
Sm Y Ho Er
2 6 2 1
direct
0.134 0.866 0.000 Sm
0.866 0.134 0.000 Sm
0.001 0.001 0.296 Y
0.346 0.652 0.791 Y
0.348 0.654 0.209 Y
0.652 0.346 0.791 Y
0.654 0.348 0.209 Y
0.999 0.999 0.704 Y
0.206 0.794 0.500 Ho
0.794 0.206 0.500 Ho
0.500 0.500 0.500 Er
```

Summary:
**Crystal system**: monoclinic
**Magnetic moment**: 0.00 Bohr magnetons per cell
**ΔE_f**: 0.15 eV per atom

Entry 6:
First-principles (PBE) data for SmY2HoEr5 after structural relaxation, as listed in the Alexandria database.

The structure in POSCAR format:
```
SmY2HoEr5
1.0
2.792 -9.814 0.000
2.792 9.814 0.000
0.000 0.000 10.557
Sm Y Ho Er
2 4 2 10
direct
0.084 0.916 0.500 Sm
0.916 0.084 0.000 Sm
0.387 0.613 0.364 Y
0.390 0.610 0.779 Y
0.610 0.390 0.279 Y
0.613 0.387 0.864 Y
0.299 0.701 0.055 Ho
0.701 0.299 0.555 Ho
0.021 0.979 0.782 Er
0.110 0.890 0.066 Er
0.201 0.799 0.753 Er
0.217 0.783 0.354 Er
0.481 0.519 0.070 Er
0.519 0.481 0.570 Er
0.783 0.217 0.854 Er
0.799 0.201 0.253 Er
0.890 0.110 0.566 Er
0.979 0.021 0.282 Er
```

Summary:
**Crystal system**: orthorhombic
**Magnetic moment**: 0.00 Bohr magnetons per cell
**ΔE_f**: 0.16 eV per atom

Entry 7:
First-principles (PBE) data for SmHoErZn after structural relaxation, as listed in the Alexandria database.

The structure in POSCAR format:
```
SmHoErZn
1.0
3.558 0.000 0.000
0.000 3.558 0.000
0.000 0.000 8.653
Sm Ho Er Zn
1 1 1 1
direct
0.000 0.000 0.000 Sm
0.500 0.500 0.703 Ho
0.500 0.500 0.296 Er
0.000 0.000 0.498 Zn
```

Summary:
**Crystal system**: tetragonal
**Energy relative to the lowest polymorph listed for this composition**: 0.000 eV/atom
**Magnetic moment**: 0.00 Bohr magnetons per cell
**ΔE_f**: -0.16 eV per atom

Entry 8:
First-principles (PBE) data for SmHoErZn after structural relaxation, as listed in the Alexandria database.

The structure in POSCAR format:
```
SmHoErZn
1.0
0.000 3.776 3.776
3.776 0.000 3.776
3.776 3.776 0.000
Sm Ho Er Zn
1 1 1 1
direct
0.000 0.000 0.000 Sm
0.500 0.500 0.500 Ho
0.250 0.250 0.250 Er
0.750 0.750 0.750 Zn
```

Summary:
**Crystal system**: cubic
**Energy relative to the lowest polymorph listed for this composition**: 0.204 eV/atom
**Magnetic moment**: 0.00 Bohr magnetons per cell
**ΔE_f**: 0.04 eV per atom

Entry 9:
First-principles (PBE) data for Sm2Ho3Er6Zr after structural relaxation, as listed in the Alexandria database.

The structure in POSCAR format:
```
Sm2Ho3Er6Zr
1.0
3.034 -5.247 0.000
3.034 5.247 0.000
-2.010 0.000 11.410
Sm Ho Er Zr
2 3 6 1
direct
0.167 0.833 0.000 Sm
0.833 0.167 0.000 Sm
0.000 0.000 0.500 Ho
0.334 0.666 0.500 Ho
0.666 0.334 0.500 Ho
0.091 0.417 0.753 Er
0.256 0.256 0.247 Er
0.417 0.091 0.753 Er
0.583 0.909 0.247 Er
0.744 0.744 0.753 Er
0.909 0.583 0.247 Er
0.500 0.500 0.000 Zr
```

Summary:
**Crystal system**: monoclinic
**Magnetic moment**: 0.00 Bohr magnetons per cell
**ΔE_f**: 0.05 eV per atom

Entry 10:
First-principles (PBE) data for Sm3Ho2Er6Zr after structural relaxation, as listed in the Alexandria database.

The structure in POSCAR format:
```
Sm3Ho2Er6Zr
1.0
3.044 -5.265 0.000
3.044 5.265 0.000
-2.020 0.000 11.414
Sm Ho Er Zr
3 2 6 1
direct
0.000 0.000 0.000 Sm
0.334 0.666 0.000 Sm
0.666 0.334 0.000 Sm
0.167 0.833 0.500 Ho
0.833 0.167 0.500 Ho
0.093 0.419 0.257 Er
0.254 0.254 0.742 Er
0.419 0.093 0.257 Er
0.581 0.907 0.743 Er
0.746 0.746 0.258 Er
0.907 0.581 0.743 Er
0.500 0.500 0.500 Zr
```

Summary:
**Crystal system**: monoclinic
**Magnetic moment**: 0.00 Bohr magnetons per cell
**ΔE_f**: 0.04 eV per atom

Entry 11:
First-principles (PBE) data for Sm6Ho2Er3Zr after structural relaxation, as listed in the Alexandria database.

The structure in POSCAR format:
```
Sm6Ho2Er3Zr
1.0
3.070 -5.311 0.000
3.070 5.311 0.000
-2.035 0.000 11.491
Sm Ho Er Zr
6 2 3 1
direct
0.082 0.409 0.746 Sm
0.245 0.245 0.255 Sm
0.409 0.082 0.746 Sm
0.591 0.918 0.254 Sm
0.755 0.755 0.745 Sm
0.918 0.591 0.254 Sm
0.333 0.667 0.500 Ho
0.667 0.333 0.500 Ho
0.166 0.834 0.000 Er
0.500 0.500 0.000 Er
0.834 0.166 0.000 Er
0.000 0.000 0.500 Zr
```

Summary:
**Crystal system**: monoclinic
**Magnetic moment**: 0.00 Bohr magnetons per cell
**ΔE_f**: 0.05 eV per atom

Entry 12:
First-principles (PBE) data for Ho6Er8Sn after structural relaxation, as listed in the Alexandria database.

The structure in POSCAR format:
```
Ho6Er8Sn
1.0
9.766 0.000 0.000
-4.883 8.457 0.000
0.000 0.000 5.764
Ho Er Sn
6 8 1
direct
0.150 0.711 0.000 Ho
0.289 0.438 0.000 Ho
0.438 0.150 0.000 Ho
0.562 0.850 0.000 Ho
0.711 0.562 0.000 Ho
0.850 0.289 0.000 Ho
0.025 0.338 0.500 Er
0.313 0.975 0.500 Er
0.333 0.667 0.500 Er
0.338 0.313 0.500 Er
0.662 0.687 0.500 Er
0.667 0.333 0.500 Er
0.687 0.025 0.500 Er
0.975 0.662 0.500 Er
0.000 0.000 0.000 Sn
```

Summary:
**Crystal system**: hexagonal
**Magnetic moment**: 0.00 Bohr magnetons per cell
**ΔE_f**: 0.26 eV per atom

Entry 13:
First-principles (PBE) data for Ho3ErSn2 after structural relaxation, as listed in the Alexandria database.

The structure in POSCAR format:
```
Ho3ErSn2
1.0
8.882 -2.252 0.000
8.882 2.252 0.000
-3.837 0.000 8.697
Ho Er Sn
6 2 4
direct
0.055 0.055 0.189 Ho
0.309 0.309 0.608 Ho
0.352 0.352 0.016 Ho
0.648 0.648 0.984 Ho
0.691 0.691 0.392 Ho
0.945 0.945 0.811 Ho
0.114 0.114 0.622 Er
0.886 0.886 0.378 Er
0.247 0.247 0.220 Sn
0.494 0.494 0.649 Sn
0.506 0.506 0.351 Sn
0.753 0.753 0.780 Sn
```

Summary:
**Crystal system**: monoclinic
**Magnetic moment**: 1.55 Bohr magnetons per cell
**ΔE_f**: -0.47 eV per atom

Entry 14:
First-principles (PBE) data for HoEr2Sn9 after structural relaxation, as listed in the Alexandria database.

The structure in POSCAR format:
```
HoEr2Sn9
1.0
4.783 0.000 0.000
0.000 4.783 0.000
0.000 0.000 13.640
Ho Er Sn
1 2 9
direct
0.000 0.000 0.000 Ho
0.000 0.000 0.333 Er
0.000 0.000 0.667 Er
0.000 0.500 0.167 Sn
0.000 0.500 0.500 Sn
0.000 0.500 0.833 Sn
0.500 0.000 0.167 Sn
0.500 0.000 0.500 Sn
0.500 0.000 0.833 Sn
0.500 0.500 0.000 Sn
0.500 0.500 0.334 Sn
0.500 0.500 0.666 Sn
```

Summary:
**Crystal system**: tetragonal
**Magnetic moment**: 0.00 Bohr magnetons per cell
**ΔE_f**: -0.39 eV per atom

Entry 15:
First-principles (PBE) data for Ho3ErSn after structural relaxation, as listed in the Alexandria database.

The structure in POSCAR format:
```
Ho3ErSn
1.0
6.325 0.000 0.000
3.161 5.661 0.000
0.005 3.067 8.129
Ho Er Sn
6 2 2
direct
0.000 0.000 0.000 Ho
0.061 0.203 0.309 Ho
0.143 0.624 0.413 Ho
0.359 0.195 0.784 Ho
0.743 0.408 0.599 Ho
0.854 0.617 0.887 Ho
0.470 0.410 0.098 Er
0.590 0.819 0.197 Er
0.248 0.788 0.711 Sn
0.625 0.030 0.485 Sn
```

Summary:
**Crystal system**: triclinic
**Magnetic moment**: 0.00 Bohr magnetons per cell
**ΔE_f**: -0.27 eV per atom

Entry 16:
First-principles (PBE) data for Ho6Er12Sn after structural relaxation, as listed in the Alexandria database.

The structure in POSCAR format:
```
Ho6Er12Sn
1.0
5.843 3.374 4.949
-5.843 3.374 4.949
0.000 -6.747 4.949
Ho Er Sn
6 12 1
direct
0.200 0.594 0.757 Ho
0.243 0.800 0.406 Ho
0.406 0.243 0.800 Ho
0.594 0.757 0.200 Ho
0.757 0.200 0.594 Ho
0.800 0.406 0.243 Ho
0.041 0.278 0.933 Er
0.067 0.959 0.722 Er
0.139 0.310 0.489 Er
0.278 0.933 0.041 Er
0.310 0.489 0.139 Er
0.489 0.139 0.310 Er
0.511 0.861 0.690 Er
0.690 0.511 0.861 Er
0.722 0.067 0.959 Er
0.861 0.690 0.511 Er
0.933 0.041 0.278 Er
0.959 0.722 0.067 Er
0.500 0.500 0.500 Sn
```

Summary:
**Crystal system**: trigonal
**Magnetic moment**: 0.00 Bohr magnetons per cell
**ΔE_f**: 0.04 eV per atom

Entry 17:
First-principles (PBE) data for Ho2ErSn9 after structural relaxation, as listed in the Alexandria database.

The structure in POSCAR format:
```
Ho2ErSn9
1.0
4.786 0.000 0.000
0.000 4.786 0.000
0.000 0.000 13.645
Ho Er Sn
2 1 9
direct
0.000 0.000 0.167 Ho
0.000 0.000 0.833 Ho
0.000 0.000 0.500 Er
0.000 0.500 0.000 Sn
0.000 0.500 0.334 Sn
0.000 0.500 0.666 Sn
0.500 0.000 0.000 Sn
0.500 0.000 0.334 Sn
0.500 0.000 0.666 Sn
0.500 0.500 0.167 Sn
0.500 0.500 0.500 Sn
0.500 0.500 0.833 Sn
```

Summary:
**Crystal system**: tetragonal
**Magnetic moment**: 0.00 Bohr magnetons per cell
**ΔE_f**: -0.40 eV per atom

Entry 18:
First-principles (PBE) data for Ho4Er3Sn4 after structural relaxation, as listed in the Alexandria database.

The structure in POSCAR format:
```
Ho4Er3Sn4
1.0
-1.762 4.745 9.267
1.762 -4.745 9.267
1.762 4.745 -9.267
Ho Er Sn
4 3 4
direct
0.020 0.837 0.182 Ho
0.345 0.163 0.182 Ho
0.655 0.837 0.818 Ho
0.980 0.163 0.818 Ho
0.000 0.500 0.500 Er
0.407 0.407 0.000 Er
0.593 0.593 0.000 Er
0.270 0.770 0.500 Sn
0.281 0.000 0.281 Sn
0.719 0.000 0.719 Sn
0.730 0.230 0.500 Sn
```

Summary:
**Crystal system**: orthorhombic
**Magnetic moment**: 0.14 Bohr magnetons per cell
**ΔE_f**: -0.50 eV per atom

Entry 19:
First-principles (PBE) data for Ho5Er3Sn after structural relaxation, as listed in the Alexandria database.

The structure in POSCAR format:
```
Ho5Er3Sn
1.0
6.894 -4.002 0.000
6.894 4.002 0.000
-1.157 0.000 10.819
Ho Er Sn
10 6 2
direct
0.004 0.004 0.644 Ho
0.166 0.834 0.000 Ho
0.176 0.572 0.234 Ho
0.261 0.261 0.954 Ho
0.428 0.824 0.766 Ho
0.572 0.176 0.234 Ho
0.739 0.739 0.046 Ho
0.824 0.428 0.766 Ho
0.834 0.166 0.000 Ho
0.996 0.996 0.356 Ho
0.167 0.167 0.214 Er
0.235 0.235 0.532 Er
0.500 0.500 0.000 Er
0.500 0.500 0.500 Er
0.765 0.765 0.468 Er
0.833 0.833 0.786 Er
0.406 0.406 0.739 Sn
0.594 0.594 0.261 Sn
```

Summary:
**Crystal system**: monoclinic
**Magnetic moment**: 0.00 Bohr magnetons per cell
**ΔE_f**: 0.37 eV per atom

Entry 20:
First-principles (PBE) data for HoEr8Sn2 after structural relaxation, as listed in the Alexandria database.

The structure in POSCAR format:
```
HoEr8Sn2
1.0
4.346 -7.419 0.000
4.346 7.419 0.000
-2.451 0.000 5.135
Ho Er Sn
1 8 2
direct
0.000 0.000 0.000 Ho
0.094 0.323 0.617 Er
0.220 0.780 0.000 Er
0.323 0.094 0.617 Er
0.406 0.406 0.202 Er
0.594 0.594 0.798 Er
0.677 0.906 0.383 Er
0.780 0.220 0.000 Er
0.906 0.677 0.383 Er
0.305 0.695 0.500 Sn
0.695 0.305 0.500 Sn
```

Summary:
**Crystal system**: monoclinic
**Magnetic moment**: 0.00 Bohr magnetons per cell
**ΔE_f**: -0.14 eV per atom